Sr3MgFe2O6 | PBE+U | optimized geometry

Results
Uncorrected energy (eV per atom): -6.031
Space group: No. 164

Cell: 5.9310 5.9310 6.3983 Å, 90.00 90.00 120.00°
Sites, in units of the cell vectors:
Sr (0.3333, 0.6667, 0.6466)
Sr (0.6667, 0.3333, 0.3534)
Sr (0.0000, 0.0000, 0.0000)
Mg (0.0000, 0.0000, 0.5000)
Fe (0.6667, 0.3333, 0.7980)
Fe (0.3333, 0.6667, 0.2020)
O (0.6763, 0.8382, 0.2971)
O (0.1618, 0.3237, 0.2971)
O (0.1618, 0.8382, 0.2971)
O (0.8382, 0.6763, 0.7029)
O (0.3237, 0.1618, 0.7029)
O (0.8382, 0.1618, 0.7029)